## CaBiH (PBE)

Data for an optimized crystal structure of CaBiH.

The calculated volume comes out at 25.6 Å³/atom. The electronic total energy comes out at -3.3851 eV/atom. Its space group is P-42_1c, No. 114. The value obtained for the distance to the lowest polymorph of the same formula is 0.47 eV/f.u. As for the total magnetization: 0.00 Bohr magnetons per cell.

a = 12.0811 Å, b = 12.0811 Å, c = 4.2153 Å
α = 90.00°, β = 90.00°, γ = 90.00°
Closest atoms and distances in Å follow each position.
Fractional coordinates of all 24 atoms:
Ca 0.0879 0.1432 0.2501  4 H 2.25-2.48
Ca 0.1432 0.9121 0.7499  4 H 2.25-2.48
Ca 0.3568 0.4121 0.7501  4 H 2.25-2.48
Ca 0.4121 0.6432 0.2499  4 H 2.25-2.48
Ca 0.5879 0.3568 0.2499  4 H 2.25-2.48
Ca 0.6432 0.5879 0.7501  4 H 2.25-2.48
Ca 0.8568 0.0879 0.7499  4 H 2.25-2.48
Ca 0.9121 0.8568 0.2501  4 H 2.25-2.48
Bi 0.0293 0.6586 0.7520  2 Bi 3.05, 1 H 3.30, 1 Ca 3.36
Bi 0.1586 0.5293 0.2520  2 Bi 3.05, 1 H 3.30, 1 Ca 3.36
Bi 0.3414 0.0293 0.2480  2 Bi 3.05, 1 H 3.30, 1 Ca 3.36
Bi 0.4707 0.1586 0.7480  2 Bi 3.05, 1 H 3.30, 1 Ca 3.36
Bi 0.5293 0.8414 0.7480  2 Bi 3.05, 1 H 3.30, 1 Ca 3.36
Bi 0.6586 0.9707 0.2480  2 Bi 3.05, 1 H 3.30, 1 Ca 3.36
Bi 0.8414 0.4707 0.2520  2 Bi 3.05, 1 H 3.30, 1 Ca 3.36
Bi 0.9707 0.3414 0.7520  2 Bi 3.05, 1 H 3.30, 1 Ca 3.36
H 0.0616 0.0834 0.7500  4 Ca 2.25-2.48, 1 H 2.51
H 0.0834 0.9384 0.2500  4 Ca 2.25-2.48, 1 H 2.51
H 0.4166 0.4384 0.2500  4 Ca 2.25-2.48, 1 H 2.51
H 0.4384 0.5834 0.7500  4 Ca 2.25-2.48, 1 H 2.51
H 0.5616 0.4166 0.7500  4 Ca 2.25-2.48, 1 H 2.51
H 0.5834 0.5616 0.2500  4 Ca 2.25-2.48, 1 H 2.51
H 0.9166 0.0616 0.2500  4 Ca 2.25-2.48, 1 H 2.51
H 0.9384 0.9166 0.7500  4 Ca 2.25-2.48, 1 H 2.51